Record 1
Compound: TlSiAu2
Source: Alexandria
Functional: PBE
Structure: optimized geometry

Results
Calculated total energy in eV/atom: -3.503
M_tot in μB per atom: 0.00
Calculated density in g/cm3: 11.8
Energy above the lowest structure with this stoichiometry in meV per atom: 114
Formation energy from raw total energies in eV per atom: 0.0826

Cell lengths 3.8385, 3.8385, 20.7167 Å; angles 90.00, 90.00, 120.00 degrees
Fractional coordinates of all 12 atoms:
Tl  0.0000  0.0000  0.0000
Tl  0.3333  0.6667  0.6667
Tl  0.6667  0.3333  0.3333
Si  0.0000  0.0000  0.1693
Si  0.3333  0.6667  0.8360
Si  0.6667  0.3333  0.5026
Au  0.0000  0.0000  0.5656
Au  0.0000  0.0000  0.7727
Au  0.3333  0.6667  0.2323
Au  0.3333  0.6667  0.4394
Au  0.6667  0.3333  0.1061
Au  0.6667  0.3333  0.8990

***

Record 2
Compound: Al5Cl
Source: Alexandria
Functional: PBE
Structure: optimized geometry

Results
Calculated total energy in eV/atom: -3.387
M_tot in μB per atom: 0.00
Calculated density in g/cm3: 2.6
Energy above the lowest structure with this stoichiometry in meV per atom: 71
Formation energy from raw total energies in eV per atom: 0.0391

Cell lengths 5.0762, 2.9226, 14.7348 Å; angles 90.00, 90.00, 90.00 degrees
Fractional coordinates of all 12 atoms:
Al  0.0000  0.0000  0.0000
Al  0.0000  0.0000  0.3309
Al  0.0000  0.0000  0.6677
Al  0.0000  0.5000  0.1677
Al  0.0000  0.5000  0.5000
Al  0.0000  0.5000  0.8309
Al  0.5000  0.0000  0.1964
Al  0.5000  0.0000  0.8550
Al  0.5000  0.5000  0.3550
Al  0.5000  0.5000  0.6964
Cl  0.5000  0.0000  0.5014
Cl  0.5000  0.5000  0.0014

***

Record 3
Compound: CrTeOs4
Source: Alexandria
Functional: PBE
Structure: optimized geometry

Results
Calculated total energy in eV/atom: -8.690
M_tot in μB per atom: 0.40
Calculated density in g/cm3: 15.3
Formation energy from raw total energies in eV per atom: 0.9244

Cell lengths 5.2424, 5.2424, 5.2424 Å; angles 60.00, 60.00, 60.00 degrees
Fractional coordinates of all 6 atoms:
Cr  0.0000  0.0000  0.0000
Te  0.2500  0.2500  0.2500
Os  0.1227  0.6258  0.6258
Os  0.6258  0.1227  0.6258
Os  0.6258  0.6258  0.1227
Os  0.6258  0.6258  0.6258

***

Record 4
Compound: LaHgPt2
Source: Alexandria
Functional: PBE
Structure: optimized geometry

Results
Calculated total energy in eV/atom: -4.299
M_tot in μB per atom: 0.15
Calculated density in g/cm3: 14.6

Cell lengths 3.1186, 3.1186, 29.5123 Å; angles 90.00, 90.00, 120.00 degrees
Fractional coordinates of all 12 atoms:
La  0.0000  0.0000  0.0000
La  0.3333  0.6667  0.6667
La  0.6667  0.3333  0.3333
Hg  0.0000  0.0000  0.7643
Hg  0.3333  0.6667  0.4310
Hg  0.6667  0.3333  0.0976
Pt  0.0000  0.0000  0.2497
Pt  0.0000  0.0000  0.5081
Pt  0.3333  0.6667  0.1748
Pt  0.3333  0.6667  0.9163
Pt  0.6667  0.3333  0.5830
Pt  0.6667  0.3333  0.8414

***

Record 5
Compound: CsBa2NaPb
Source: Alexandria
Functional: PBE
Structure: optimized geometry

Results
Calculated total energy in eV/atom: -2.026
M_tot in μB per atom: 0.00
Calculated density in g/cm3: 3.4

Cell lengths 6.9734, 6.9734, 6.4370 Å; angles 90.00, 90.00, 90.00 degrees
Fractional coordinates of all 5 atoms:
Cs  0.0000  0.0000  0.0000
Ba  0.0000  0.5000  0.5000
Ba  0.5000  0.0000  0.5000
Na  0.5000  0.5000  0.0000
Pb  0.5000  0.5000  0.5000

***

Record 6
Compound: Y2CdHg8
Source: Alexandria
Functional: PBE
Structure: optimized geometry

Results
Calculated total energy in eV/atom: -1.691
M_tot in μB per atom: 0.00
Calculated density in g/cm3: 11.5
Energy above the lowest structure with this stoichiometry in meV per atom: 28

Cell lengths 9.0767, 9.0767, 6.8564 Å; angles 107.80, 107.80, 30.60 degrees
Fractional coordinates of all 11 atoms:
Y  0.2114  0.2114  0.1831
Y  0.7886  0.7886  0.8169
Cd  0.5000  0.5000  0.5000
Hg  0.0246  0.0246  0.2275
Hg  0.1651  0.1651  0.6928
Hg  0.3502  0.3502  0.6123
Hg  0.3908  0.3908  0.0794
Hg  0.6092  0.6092  0.9206
Hg  0.6498  0.6498  0.3877
Hg  0.8349  0.8349  0.3072
Hg  0.9754  0.9754  0.7725

***

Record 7
Compound: PmNiGe2
Source: Alexandria
Functional: PBE
Structure: optimized geometry

Results
Calculated total energy in eV/atom: -5.612
M_tot in μB per atom: 0.00
Calculated density in g/cm3: 7.7
Energy above the lowest structure with this stoichiometry in meV per atom: 75

Cell lengths 4.0537, 4.0537, 15.8391 Å; angles 90.00, 90.00, 120.00 degrees
Fractional coordinates of all 12 atoms:
Pm  0.0000  0.0000  0.0000
Pm  0.3333  0.6667  0.6667
Pm  0.6667  0.3333  0.3333
Ni  0.0000  0.0000  0.5000
Ni  0.3333  0.6667  0.1667
Ni  0.6667  0.3333  0.8333
Ge  0.0000  0.0000  0.2157
Ge  0.0000  0.0000  0.7843
Ge  0.3333  0.6667  0.4510
Ge  0.3333  0.6667  0.8823
Ge  0.6667  0.3333  0.1177
Ge  0.6667  0.3333  0.5490

***

Record 8
Compound: In2Ag2Pt
Source: Alexandria
Functional: PBE
Structure: optimized geometry

Results
Calculated total energy in eV/atom: -3.415
M_tot in μB per atom: 0.00
Calculated density in g/cm3: 10.3
Energy above the lowest structure with this stoichiometry in meV per atom: 0

Cell lengths 7.1821, 7.1821, 4.0082 Å; angles 90.00, 90.00, 90.00 degrees
Fractional coordinates of all 10 atoms:
In  0.1566  0.3434  0.0000
In  0.3434  0.8434  0.0000
In  0.6566  0.1566  0.0000
In  0.8434  0.6566  0.0000
Ag  0.1441  0.6441  0.5000
Ag  0.3559  0.1441  0.5000
Ag  0.6441  0.8559  0.5000
Ag  0.8559  0.3559  0.5000
Pt  0.0000  0.0000  0.0000
Pt  0.5000  0.5000  0.0000

***

Record 9
Compound: Co2IrCl
Source: Alexandria
Functional: PBE
Structure: optimized geometry

Results
Calculated total energy in eV/atom: -5.564
M_tot in μB per atom: 1.11
Calculated density in g/cm3: 10.6
Energy above the lowest structure with this stoichiometry in meV per atom: 404
Formation energy from raw total energies in eV per atom: 0.6661

Cell lengths 2.7668, 4.4673, 8.7930 Å; angles 90.00, 90.00, 90.00 degrees
Fractional coordinates of all 8 atoms:
Co  0.0000  0.0000  0.0000
Co  0.0000  0.5000  0.2492
Co  0.5000  0.0000  0.7492
Co  0.5000  0.5000  0.5000
Ir  0.0000  0.5000  0.7597
Ir  0.5000  0.0000  0.2597
Cl  0.0000  0.0000  0.5144
Cl  0.5000  0.5000  0.0144

***

Record 10
Compound: TlPWS2
Source: Alexandria
Functional: PBE
Structure: optimized geometry

Results
Calculated total energy in eV/atom: -5.781
M_tot in μB per atom: 0.00
Calculated density in g/cm3: 7.3
Energy above the lowest structure with this stoichiometry in meV per atom: 0
Formation energy from raw total energies in eV per atom: 0.0154

Cell lengths 4.7805, 4.7805, 4.7970 Å; angles 90.00, 90.00, 90.00 degrees
Fractional coordinates of all 5 atoms:
Tl  0.0000  0.0000  0.0000
P  0.5000  0.5000  0.0000
W  0.5000  0.5000  0.5000
S  0.0000  0.5000  0.5000
S  0.5000  0.0000  0.5000

***

Record 11
Compound: ZrCuRe2
Source: Alexandria
Functional: PBE
Structure: optimized geometry

Results
Calculated total energy in eV/atom: -8.999
M_tot in μB per atom: 0.00
Calculated density in g/cm3: 13.7
Energy above the lowest structure with this stoichiometry in meV per atom: 366

Cell lengths 2.7851, 2.7851, 28.5868 Å; angles 90.00, 90.00, 120.00 degrees
Fractional coordinates of all 12 atoms:
Zr  0.0000  0.0000  0.0000
Zr  0.3333  0.6667  0.6667
Zr  0.6667  0.3333  0.3333
Cu  0.0000  0.0000  0.5000
Cu  0.3333  0.6667  0.1667
Cu  0.6667  0.3333  0.8333
Re  0.0000  0.0000  0.2424
Re  0.0000  0.0000  0.7576
Re  0.3333  0.6667  0.4243
Re  0.3333  0.6667  0.9090
Re  0.6667  0.3333  0.0910
Re  0.6667  0.3333  0.5757